First-principles (GGA-PBE) data for an optimized crystal structure of InGa4Co5, as listed in Alexandria.

abc: 2.8876 2.8876 15.1313
angles: 90.00 90.00 90.00
Closest atoms and distances in Å follow each position.
Fractional coordinates of all 10 atoms:
Ga 0.0000 0.0000 0.2128  8 Co 2.46-2.53
Co 0.5000 0.5000 0.1220  4 Ga 2.46, 4 In 2.75
In 0.0000 0.0000 0.0000  8 Co 2.75, 4 In 2.89
Co 0.5000 0.5000 0.8780  4 Ga 2.46, 4 In 2.75
Co 0.5000 0.5000 0.6890  8 Ga 2.49-2.53
Co 0.5000 0.5000 0.3110  8 Ga 2.49-2.53
Co 0.5000 0.5000 0.5000  8 Ga 2.50
Ga 0.0000 0.0000 0.7872  8 Co 2.46-2.53
Ga 0.0000 0.0000 0.4047  8 Co 2.49-2.50
Ga 0.0000 0.0000 0.5953  8 Co 2.49-2.50

Summary:
The calculated formation energy comes out at -2.0 eV/f.u. The total energy comes out at -5.2340 eV per atom. As for the space group: P4/mmm (123).


First-principles (GGA-PBE) data for an optimized crystal structure of Ca3CS, as listed in Alexandria.

abc: 4.9107 4.9107 4.9107
angles: 90.00 90.00 90.00
Closest atoms and distances in Å follow each position.
Fractional coordinates of all 5 atoms:
Ca 0.0000 0.0000 0.5000  2 C 2.46
C 0.0000 0.0000 0.0000  6 Ca 2.46
S 0.5000 0.5000 0.5000  12 Ca 3.47
Ca 0.5000 0.0000 0.0000  2 C 2.46
Ca 0.0000 0.5000 0.0000  2 C 2.46

Summary:
The total energy comes out at -4.3585 eV per atom. The value obtained for the offset from the most stable computed form is 0.000 eV/atom. As for the space group: Pm-3m (221).


First-principles (GGA-PBE) data for an optimized crystal structure of NiRuAu2, as listed in Alexandria.

abc: 6.2953 4.8492 2.7636
angles: 89.94 64.06 121.63
Closest atoms and distances in Å follow each position.
Fractional coordinates of all 4 atoms:
Ru 0.5000 0.5000 0.0000  2 Ru 2.76, 8 Au 2.79, 2 Ni 2.83
Au 0.5000 0.0000 0.5000  4 Au 2.76-2.83, 4 Ru 2.79, 4 Ni 2.79
Au 0.0000 0.0000 0.0000  4 Au 2.76-2.83, 4 Ni 2.79, 4 Ru 2.79
Ni 0.0000 0.5000 0.5000  2 Ni 2.76, 8 Au 2.79, 2 Ru 2.83

Summary:
The calculated formation energy comes out at 1.4 eV/f.u. The total energy comes out at -5.0533 eV per atom. The value obtained for the offset from the most stable computed form is 0.155 eV/atom. As for the space group: Cmmm (65).